(1)
# PBE CaLa2Dy, relaxed
data_CaLa2Dy
_chemical_formula_sum 'Ca1 La2 Dy1'
_symmetry_space_group_name_H-M 'P 1'
_symmetry_Int_Tables_number 1
_symmetry_space_group_name_Hall 'P 1'
_cell_length_a 3.637
_cell_length_b 3.637
_cell_length_c 13.203
_cell_angle_alpha 82.08
_cell_angle_beta 82.08
_cell_angle_gamma 60.00
loop_
_atom_site_label
_atom_site_type_symbol
_atom_site_fract_x
_atom_site_fract_y
_atom_site_fract_z
_atom_site_occupancy
Ca1 Ca 0.000 0.000 0.000 1
La1 La 0.092 0.092 0.725 1
La2 La 0.908 0.908 0.275 1
Dy1 Dy 0.500 0.500 0.500 1
# - Crystal system: trigonal
# - Polymorph energy (0 for the lowest one): 0.33 eV/f.u.
# - Formation energy from the elements: 0.12 eV/atom
# - SG: R-3m


(2)
# PBE Pr2CuO4, relaxed
data_Pr2CuO4
_chemical_formula_sum 'Pr2 Cu1 O4'
_symmetry_space_group_name_H-M 'P 1'
_symmetry_Int_Tables_number 1
_symmetry_space_group_name_Hall 'P 1'
_cell_length_a 7.070
_cell_length_b 7.070
_cell_length_c 7.070
_cell_angle_alpha 148.98
_cell_angle_beta 148.98
_cell_angle_gamma 44.43
loop_
_atom_site_label
_atom_site_type_symbol
_atom_site_fract_x
_atom_site_fract_y
_atom_site_fract_z
_atom_site_occupancy
Pr1 Pr 0.362 0.362 0.000 1
Pr2 Pr 0.638 0.638 0.000 1
Cu1 Cu 0.000 0.000 0.000 1
O1 O 0.184 0.184 0.000 1
O2 O 0.816 0.816 0.000 1
O3 O 0.000 0.500 0.500 1
O4 O 0.500 0.000 0.500 1
# - Energy relative to the elements, uncorrected: -2.46 eV/atom
# - Crystal system: tetragonal
# - Polymorph energy (0 for the lowest one): 0.56 eV/f.u.
# - SG: I4/mmm


(3)
# PBE Dy5ErTm5, relaxed
data_Dy5ErTm5
_chemical_formula_sum 'Dy5 Er1 Tm5'
_symmetry_space_group_name_H-M 'P 1'
_symmetry_Int_Tables_number 1
_symmetry_space_group_name_Hall 'P 1'
_cell_length_a 5.838
_cell_length_b 9.759
_cell_length_c 6.865
_cell_angle_alpha 110.38
_cell_angle_beta 90.00
_cell_angle_gamma 107.40
loop_
_atom_site_label
_atom_site_type_symbol
_atom_site_fract_x
_atom_site_fract_y
_atom_site_fract_z
_atom_site_occupancy
Dy1 Dy 0.822 0.643 0.067 1
Dy2 Dy 0.822 0.643 0.576 1
Dy3 Dy 0.500 0.000 0.000 1
Dy4 Dy 0.178 0.357 0.424 1
Dy5 Dy 0.178 0.357 0.933 1
Er1 Er 0.000 0.000 0.000 1
Tm1 Tm 0.669 0.337 0.170 1
Tm2 Tm 0.623 0.246 0.625 1
Tm3 Tm 0.000 0.000 0.500 1
Tm4 Tm 0.377 0.754 0.375 1
Tm5 Tm 0.331 0.663 0.830 1
# - Crystal system: monoclinic
# - Polymorph energy (0 for the lowest one): 1.52 eV/f.u.
# - Formation energy from the elements: 0.29 eV/atom
# - SG: C2/m


(4)
# PBE PuHF, relaxed
data_PuHF
_chemical_formula_sum 'Pu2 H2 F2'
_symmetry_space_group_name_H-M 'P 1'
_symmetry_Int_Tables_number 1
_symmetry_space_group_name_Hall 'P 1'
_cell_length_a 3.522
_cell_length_b 3.522
_cell_length_c 6.489
_cell_angle_alpha 90.00
_cell_angle_beta 90.00
_cell_angle_gamma 90.00
loop_
_atom_site_label
_atom_site_type_symbol
_atom_site_fract_x
_atom_site_fract_y
_atom_site_fract_z
_atom_site_occupancy
Pu1 Pu 0.000 0.500 0.775 1
Pu2 Pu 0.500 0.000 0.225 1
H1 H 0.000 0.000 0.000 1
H2 H 0.500 0.500 0.000 1
F1 F 0.000 0.500 0.381 1
F2 F 0.500 0.000 0.619 1
# - Crystal system: tetragonal
# - Polymorph energy (0 for the lowest one): 0.19 eV/f.u.
# - SG: P4/nmm


(5)
# PBE RbZrZn2, relaxed
data_RbZrZn2
_chemical_formula_sum 'Rb1 Zr1 Zn2'
_symmetry_space_group_name_H-M 'P 1'
_symmetry_Int_Tables_number 1
_symmetry_space_group_name_Hall 'P 1'
_cell_length_a 5.207
_cell_length_b 5.207
_cell_length_c 5.207
_cell_angle_alpha 60.00
_cell_angle_beta 60.00
_cell_angle_gamma 60.00
loop_
_atom_site_label
_atom_site_type_symbol
_atom_site_fract_x
_atom_site_fract_y
_atom_site_fract_z
_atom_site_occupancy
Zn1 Zn 0.250 0.250 0.250 1
Zn2 Zn 0.750 0.750 0.750 1
Rb1 Rb 0.000 0.000 0.000 1
Zr1 Zr 0.500 0.500 0.500 1
# - Crystal system: cubic
# - Polymorph energy (0 for the lowest one): 0.00 eV/f.u.
# - Formation energy from the elements: 0.64 eV/atom
# - SG: Fm-3m


(6)
# PBE Ho3MgHg2, relaxed
data_Ho3MgHg2
_chemical_formula_sum 'Ho3 Mg1 Hg2'
_symmetry_space_group_name_H-M 'P 1'
_symmetry_Int_Tables_number 1
_symmetry_space_group_name_Hall 'P 1'
_cell_length_a 3.747
_cell_length_b 3.747
_cell_length_c 11.040
_cell_angle_alpha 90.00
_cell_angle_beta 90.00
_cell_angle_gamma 90.00
loop_
_atom_site_label
_atom_site_type_symbol
_atom_site_fract_x
_atom_site_fract_y
_atom_site_fract_z
_atom_site_occupancy
Ho1 Ho 0.000 0.000 0.000 1
Ho2 Ho 0.000 0.000 0.671 1
Ho3 Ho 0.000 0.000 0.329 1
Mg1 Mg 0.500 0.500 0.500 1
Hg1 Hg 0.500 0.500 0.828 1
Hg2 Hg 0.500 0.500 0.172 1
# - Crystal system: tetragonal
# - Polymorph energy (0 for the lowest one): 0.08 eV/f.u.
# - Formation energy from the elements: -0.35 eV/atom
# - SG: P4/mmm


(7)
# PBE UCo2H8Pd, relaxed
data_UCo2H8Pd
_chemical_formula_sum 'U1 Co2 H8 Pd1'
_symmetry_space_group_name_H-M 'P 1'
_symmetry_Int_Tables_number 1
_symmetry_space_group_name_Hall 'P 1'
_cell_length_a 4.439
_cell_length_b 4.439
_cell_length_c 6.124
_cell_angle_alpha 90.00
_cell_angle_beta 90.00
_cell_angle_gamma 120.00
loop_
_atom_site_label
_atom_site_type_symbol
_atom_site_fract_x
_atom_site_fract_y
_atom_site_fract_z
_atom_site_occupancy
U1 U 0.000 0.000 0.500 1
Co1 Co 0.333 0.667 0.625 1
Co2 Co 0.667 0.333 0.375 1
H1 H 0.175 0.350 0.813 1
H2 H 0.175 0.825 0.813 1
H3 H 0.650 0.825 0.813 1
H4 H 0.350 0.175 0.187 1
H5 H 0.667 0.333 0.628 1
H6 H 0.333 0.667 0.372 1
H7 H 0.825 0.650 0.187 1
H8 H 0.825 0.175 0.187 1
Pd1 Pd 0.000 0.000 0.000 1
# - Crystal system: trigonal
# - SG: P-3m1


(8)
# PBE BaP2Ru, relaxed
data_BaP2Ru
_chemical_formula_sum 'Ba1 P2 Ru1'
_symmetry_space_group_name_H-M 'P 1'
_symmetry_Int_Tables_number 1
_symmetry_space_group_name_Hall 'P 1'
_cell_length_a 5.159
_cell_length_b 5.159
_cell_length_c 3.115
_cell_angle_alpha 90.00
_cell_angle_beta 90.00
_cell_angle_gamma 90.00
loop_
_atom_site_label
_atom_site_type_symbol
_atom_site_fract_x
_atom_site_fract_y
_atom_site_fract_z
_atom_site_occupancy
Ba1 Ba 0.000 0.500 0.500 1
P1 P 0.000 0.000 0.000 1
P2 P 0.500 0.500 0.000 1
Ru1 Ru 0.500 0.000 0.500 1
# - Crystal system: tetragonal
# - Polymorph energy (0 for the lowest one): 4.79 eV/f.u.
# - Formation energy from the elements: 0.55 eV/atom
# - SG: P4/mmm


Number 1: ρ 5.341 g cm⁻³, electronic total energy -16.0 eV/cell. Number 2: ρ 7.268 g cm⁻³, electronic total energy -50.7 eV/cell. Number 3: ρ 8.719 g cm⁻³, electronic total energy -46.7 eV/cell. Number 4: ρ 10.891 g cm⁻³, electronic total energy -49.2 eV/cell. Number 5: ρ 5.115 g cm⁻³, electronic total energy -9.5 eV/cell. Number 6: ρ 9.860 g cm⁻³, electronic total energy -18.0 eV/cell. Number 7: ρ 7.473 g cm⁻³, electronic total energy -57.0 eV/cell. Number 8: ρ 6.015 g cm⁻³, electronic total energy -19.8 eV/cell.